A plane-wave DFT calculation with PBE with a Hubbard U was carried out for a relaxed structure of KLaVWO6.

a = 5.6902 Å, b = 5.6902 Å, c = 5.6902 Å
α = 60.00°, β = 60.00°, γ = 60.00°
Fractional positions:
K: 0.0000 0.0000 0.0000
La: 0.5000 0.5000 0.5000
V: 0.7500 0.7500 0.7500
W: 0.2500 0.2500 0.2500
O: 0.0077 0.0077 0.4923
O: 0.0077 0.4923 0.0077
O: 0.0077 0.4923 0.4923
O: 0.4923 0.0077 0.0077
O: 0.4923 0.0077 0.4923
O: 0.4923 0.4923 0.0077

Results
SG: F-43m
Total DFT energy (no corrections) (eV per atom): -7.396